AlRh3: optimized geometry, PBE-GGA.

The space group is R-3m (No. 166, hexagonal axes) and the conventional cell measures 8.4753, 8.4753 and 2.7701 Å, with angles of 90.00, 90.00 and 120.00 degrees. The distinct sites, in fractional coordinates, are Al at (0.0000, 0.0000, 0.0000) and Rh at (0.0000, 0.5000, 0.0000).

For the energy of formation, the calculation gives -226 meV per atom.